Entry 1:
Density functional theory data (PBEsol) for an optimized crystal structure of YGe2Rh4.

For the total energy, the calculation gives -7.812 eV per atom. Its formation energy is -0.776 eV per atom. As for the density of states at the Fermi level: 3.5 states/eV/f.u.

abc: 11.3451 4.1484 9.0425
angles: 90.00 90.00 90.00
Space group Pnma (No. 62)
Symmetry-distinct sites (fractional):
Y (0.1734, 0.2500, 0.1496) x4
Ge (0.0596, 0.7500, 0.3822) x4
Ge (0.1386, 0.7500, 0.9153) x4
Rh (0.0026, 0.2500, 0.8842) x4
Rh (0.0613, 0.7500, 0.6711) x4
Rh (0.1551, 0.2500, 0.4968) x4
Rh (0.2299, 0.2500, 0.8089) x4

=====

Entry 2:
Density functional theory data (PBEsol) for an optimized crystal structure of Y2Ge5Rh3.

For the total energy, the calculation gives -7.123 eV per atom. Its formation energy is -0.847 eV per atom. As for the density of states at the Fermi level: 4.6 states/eV/f.u.

abc: 11.2213 12.0622 5.7993
angles: 90.00 118.28 90.00
Space group C2/c (No. 15)
Symmetry-distinct sites (fractional):
Y (0.2313, 0.1387, 0.2374) x8
Ge (0.0000, 0.0132, 0.2500) x4
Ge (0.0000, 0.2778, 0.2500) x4
Ge (0.0000, 0.2931, 0.7500) x4
Ge (0.1703, 0.4049, 0.1690) x8
Rh (0.0000, 0.4986, 0.7500) x4
Rh (0.0960, 0.1419, 0.6248) x8

=====

Entry 3:
Density functional theory data (PBEsol) for an optimized crystal structure of Zn2Ge2Rh.

For the total energy, the calculation gives -4.418 eV per atom. Its formation energy is -0.182 eV per atom. As for the density of states at the Fermi level: 1.3 states/eV/f.u.

abc: 9.6370 3.0308 11.2595
angles: 90.00 112.86 90.00
Space group C2/m (No. 12)
Symmetry-distinct sites (fractional):
Zn (0.0524, 0.0000, 0.3675) x4
Zn (0.1411, 0.5000, 0.2063) x4
Ge (0.1190, 0.0000, 0.9780) x4
Ge (0.1629, 0.5000, 0.5898) x4
Rh (0.1416, 0.5000, 0.8126) x4

=====

Entry 4:
Density functional theory data (PBEsol) for an optimized crystal structure of ZrGeRh.

For the total energy, the calculation gives -8.383 eV per atom. Its formation energy is -0.994 eV per atom. As for the density of states at the Fermi level: 2.0 states/eV/f.u.

abc: 6.5611 3.9699 7.5193
angles: 90.00 90.00 90.00
Space group Pnma (No. 62)
Symmetry-distinct sites (fractional):
Zr (0.0217, 0.2500, 0.1908) x4
Ge (0.2342, 0.7500, 0.3842) x4
Rh (0.1453, 0.2500, 0.5655) x4

=====

Entry 5:
Density functional theory data (PBEsol) for an optimized crystal structure of Zr2Ge2Rh.

For the total energy, the calculation gives -8.146 eV per atom. Its formation energy is -0.907 eV per atom. As for the density of states at the Fermi level: 3.0 states/eV/f.u.

abc: 6.4140 6.4140 4.1609
angles: 90.00 90.00 90.00
Space group P4/mbm (No. 127)
Symmetry-distinct sites (fractional):
Zr (0.1682, 0.3318, 0.0000) x4
Ge (0.1391, 0.6391, 0.5000) x4
Rh (0.0000, 0.0000, 0.5000) x2

=====

Entry 6:
Density functional theory data (PBEsol) for an optimized crystal structure of Ge3Ru2.

For the total energy, the calculation gives -7.414 eV per atom. Its formation energy is -0.382 eV per atom. The energy above the most stable polymorph in this dataset comes out at 5.1 meV per atom.

abc: 5.7066 5.7066 9.2155
angles: 90.00 90.00 90.00
Space group P-4c2 (No. 116)
Symmetry-distinct sites (fractional):
Ge (0.1501, 0.2827, 0.4147) x8
Ge (0.3275, 0.3275, 0.7500) x4
Ru (0.0000, 0.0000, 0.2500) x2
Ru (0.0000, 0.5000, 0.1250) x4
Ru (0.5000, 0.5000, 0.0000) x2

=====

Entry 7:
Density functional theory data (PBEsol) for an optimized crystal structure of Ge3Ru2.

For the total energy, the calculation gives -7.419 eV per atom. Its formation energy is -0.387 eV per atom. The energy above the most stable polymorph in this dataset comes out at 0.0 meV per atom.

abc: 11.3886 9.2126 5.6939
angles: 90.00 90.00 90.00
Space group Pbcn (No. 60)
Symmetry-distinct sites (fractional):
Ge (0.0735, 0.2173, 0.0396) x8
Ge (0.1344, 0.3979, 0.6002) x8
Ge (0.1748, 0.0668, 0.4133) x8
Ru (0.0000, 0.0444, 0.7500) x4
Ru (0.0000, 0.4270, 0.2500) x4
Ru (0.2469, 0.1871, 0.7602) x8

=====

Entry 8:
Density functional theory data (PBEsol) for an optimized crystal structure of GeRu.

For the total energy, the calculation gives -7.863 eV per atom. Its formation energy is -0.308 eV per atom. As for the density of states at the Fermi level: 0.6 states/eV/f.u.

abc: 4.8250 4.8250 4.8250
angles: 90.00 90.00 90.00
Space group P2_13 (No. 198)
Symmetry-distinct sites (fractional):
Ge (0.0874, 0.0874, 0.0874) x4
Ru (0.1201, 0.6201, 0.8799) x4

=====

Entry 9:
Density functional theory data (PBEsol) for an optimized crystal structure of Ge3RuS.

For the total energy, the calculation gives -4.765 eV per atom. As for the formation energy without anion corrections: 1.110 eV/atom. As for the density of states at the Fermi level: 5.9 states/eV/f.u.

abc: 4.5427 4.5427 4.5427
angles: 90.00 90.00 90.00
Space group Pm-3m (No. 221)
Symmetry-distinct sites (fractional):
Ge (0.0000, 0.0000, 0.5000) x3
Ru (0.5000, 0.5000, 0.5000) x1
S (0.0000, 0.0000, 0.0000) x1

=====

Entry 10:
Density functional theory data (PBEsol) for an optimized crystal structure of ScGe2Ru.

For the total energy, the calculation gives -7.382 eV per atom. Its formation energy is -0.718 eV per atom. As for the density of states at the Fermi level: 2.0 states/eV/f.u.

abc: 9.2221 10.2808 8.0796
angles: 90.00 90.00 90.00
Space group Pbam (No. 55)
Symmetry-distinct sites (fractional):
Sc (0.1645, 0.1778, 0.0000) x4
Sc (0.1761, 0.4502, 0.2440) x8
Ge (0.0299, 0.6191, 0.5000) x4
Ge (0.0344, 0.6164, 0.0000) x4
Ge (0.1285, 0.9004, 0.5000) x4
Ge (0.1339, 0.8971, 0.0000) x4
Ge (0.1629, 0.1792, 0.3446) x8
Ru (0.0000, 0.0000, 0.2460) x4
Ru (0.0868, 0.7382, 0.2488) x8

=====

Entry 11:
Density functional theory data (PBEsol) for an optimized crystal structure of Sc4Ge6Ru7.

For the total energy, the calculation gives -8.121 eV per atom. Its formation energy is -0.636 eV per atom. As for the density of states at the Fermi level: 14.2 states/eV/f.u.

abc: 8.0529 8.0529 8.0529
angles: 90.00 90.00 90.00
Space group Im-3m (No. 229)
Symmetry-distinct sites (fractional):
Sc (0.2500, 0.2500, 0.2500) x8
Ge (0.0000, 0.0000, 0.3088) x12
Ru (0.0000, 0.0000, 0.0000) x2
Ru (0.0000, 0.2500, 0.5000) x12

=====

Entry 12:
Density functional theory data (PBEsol) for an optimized crystal structure of Sc2Ge2Ru.

For the total energy, the calculation gives -7.483 eV per atom. Its formation energy is -0.831 eV per atom. As for the density of states at the Fermi level: 2.6 states/eV/f.u.

abc: 6.5118 6.5118 3.9673
angles: 90.00 90.00 90.00
Space group P4/mbm (No. 127)
Symmetry-distinct sites (fractional):
Sc (0.1726, 0.3274, 0.0000) x4
Ge (0.1353, 0.6353, 0.5000) x4
Ru (0.0000, 0.0000, 0.5000) x2